(1)
Entry from Alexandria: crystalline TaTi2S at its relaxed geometry (PBE-GGA).

## Properties
Total energy, eV for the cell shown: -33.76
Formation energy (no corrections), eV/atom: -0.4973
SG: C2/m

Cell lengths 5.016, 5.016, 3.098 Å; angles 90.65, 90.65, 59.16 degrees
Atoms (fractional coordinates):
Ta1 0.000 0.000 0.000
Ti1 0.301 0.301 0.491
Ti2 0.699 0.699 0.509
S1 0.500 0.500 0.000



(2)
Entry from Alexandria: crystalline Tb11Cd9Ag4 at its relaxed geometry (PBE-GGA).

## Properties
Total energy, eV for the cell shown: -78.01
Formation energy, eV/atom: -0.310
SG: Cmmm

Cell lengths 13.332, 13.332, 3.729 Å; angles 90.00, 90.00, 112.53 degrees
Atoms (fractional coordinates):
Tb1 0.000 0.000 0.000
Tb2 0.068 0.413 0.000
Tb3 0.164 0.836 0.000
Tb4 0.285 0.285 0.000
Tb5 0.361 0.639 0.000
Tb6 0.413 0.068 0.000
Tb7 0.587 0.932 0.000
Tb8 0.639 0.361 0.000
Tb9 0.715 0.715 0.000
Tb10 0.836 0.164 0.000
Tb11 0.932 0.587 0.000
Cd1 0.063 0.212 0.500
Cd2 0.154 0.633 0.500
Cd3 0.212 0.063 0.500
Cd4 0.367 0.846 0.500
Cd5 0.500 0.500 0.500
Cd6 0.633 0.154 0.500
Cd7 0.788 0.937 0.500
Cd8 0.846 0.367 0.500
Cd9 0.937 0.788 0.500
Ag1 0.255 0.449 0.500
Ag2 0.449 0.255 0.500
Ag3 0.551 0.745 0.500
Ag4 0.745 0.551 0.500



(3)
Entry from Alexandria: crystalline Cr3NiRh4 at its relaxed geometry (PBE-GGA).

## Properties
Total energy, eV for the cell shown: -64.62
Formation energy, eV/atom: -0.070
SG: I4/mmm

Cell lengths 7.740, 7.740, 7.740 Å; angles 151.67, 151.67, 40.49 degrees
Atoms (fractional coordinates):
Cr1 0.000 0.000 0.000
Cr2 0.252 0.252 0.000
Cr3 0.748 0.748 0.000
Ni1 0.500 0.500 0.000
Rh1 0.128 0.628 0.500
Rh2 0.372 0.872 0.500
Rh3 0.628 0.128 0.500
Rh4 0.872 0.372 0.500



(4)
Entry from Alexandria: crystalline TmAg3Hg at its relaxed geometry (PBE-GGA).

## Properties
Total energy, eV for the cell shown: -55.08
Formation energy, eV/atom: -0.089
SG: Pnma

Cell lengths 4.897, 7.873, 11.204 Å; angles 90.00, 90.00, 90.00 degrees
Atoms (fractional coordinates):
Tm1 0.000 0.000 0.000
Tm2 0.000 0.500 0.000
Tm3 0.500 0.000 0.500
Tm4 0.500 0.500 0.500
Ag1 0.002 0.073 0.313
Ag2 0.002 0.427 0.313
Ag3 0.003 0.250 0.809
Ag4 0.497 0.750 0.309
Ag5 0.498 0.573 0.813
Ag6 0.498 0.927 0.813
Ag7 0.502 0.073 0.187
Ag8 0.502 0.427 0.187
Ag9 0.503 0.250 0.691
Ag10 0.997 0.750 0.191
Ag11 0.998 0.573 0.687
Ag12 0.998 0.927 0.687
Hg1 0.002 0.250 0.543
Hg2 0.498 0.750 0.043
Hg3 0.502 0.250 0.957
Hg4 0.998 0.750 0.457